Record 1
Computed, not measured: Sm3Er13 after structural relaxation at the PBE level of DFT.

Cell lengths 7.056, 7.056, 9.962 Å; angles 90.00, 90.00, 90.09 degrees
Positions (direct):
Er1 0.749 0.749 0.500
Er2 0.251 0.252 0.000
Er3 0.251 0.251 0.500
Er4 0.499 0.501 0.748
Er5 0.499 0.000 0.749
Er6 0.251 0.749 0.500
Er7 0.749 0.251 0.500
Er8 0.499 0.000 0.251
Er9 0.499 0.501 0.252
Er10 0.251 0.749 0.000
Er11 0.000 0.501 0.251
Er12 0.748 0.749 0.000
Er13 0.000 0.501 0.749
Sm1 0.001 0.999 0.750
Sm2 0.001 0.999 0.250
Sm3 0.749 0.251 0.000

Values from the calculation:
Polymorph energy (0 for the lowest one): 12 meV/atom
ΔH_f (0 K): 0.3 eV/f.u.

Record 2
Computed, not measured: Cs2KGaSn2 after structural relaxation at the PBE level of DFT.

Cell lengths 4.538, 12.038, 9.300 Å; angles 90.00, 90.00, 90.00 degrees
Positions (direct):
Cs1 0.500 0.024 0.144
Cs2 0.500 0.524 0.856
Cs3 0.000 0.350 0.186
Cs4 0.000 0.850 0.814
Ga1 0.500 0.606 0.245
Ga2 0.500 0.106 0.755
Sn1 0.000 0.776 0.235
Sn2 0.500 0.266 0.540
Sn3 0.000 0.276 0.765
Sn4 0.500 0.766 0.460
K1 0.000 0.024 0.497
K2 0.000 0.524 0.503

Values from the calculation:
ΔH_f (0 K): -0.9 eV/f.u.

Record 3
Computed, not measured: Tb2CuIr2 after structural relaxation at the PBE level of DFT.

Cell lengths 4.217, 5.728, 5.453 Å; angles 121.68, 112.75, 90.00 degrees
Positions (direct):
Ir1 0.500 0.270 0.000
Ir2 0.500 0.730 0.000
Tb1 0.205 0.705 0.410
Tb2 0.795 0.295 0.590
Cu1 0.000 0.000 0.000

Values from the calculation:
ΔH_f (0 K): -3.4 eV/f.u.

Record 4
Computed, not measured: CaMgScAg after structural relaxation at the PBE level of DFT.

Cell lengths 5.160, 5.160, 5.160 Å; angles 60.00, 60.00, 60.00 degrees
Positions (direct):
Ag1 0.250 0.250 0.250
Mg1 0.750 0.750 0.750
Ca1 0.000 0.000 0.000
Sc1 0.500 0.500 0.500

Values from the calculation:
ΔH_f (0 K): -0.3 eV/f.u.

Record 5
Computed, not measured: CuTc2Hg after structural relaxation at the PBE level of DFT.

Cell lengths 2.850, 3.807, 5.792 Å; angles 90.00, 90.00, 90.00 degrees
Positions (direct):
Tc1 0.500 0.500 0.234
Tc2 0.000 0.000 0.044
Hg1 0.500 0.500 0.734
Cu1 0.000 0.000 0.489

Values from the calculation:
ΔH_f (0 K): 1.4 eV/f.u.

Record 6
Computed, not measured: SbS3F after structural relaxation at the PBE level of DFT.

Cell lengths 4.944, 4.944, 4.944 Å; angles 90.00, 90.00, 90.00 degrees
Positions (direct):
Sb1 0.000 0.000 0.000
F1 0.500 0.500 0.500
S1 0.500 0.000 0.000
S2 0.000 0.500 0.000
S3 0.000 0.000 0.500

Values from the calculation:
E_form (uncorrected): 0.637 eV per atom

Record 7
Computed, not measured: Cs2MnPdI6 after structural relaxation at the PBE level of DFT.

Cell lengths 8.125, 8.125, 8.138 Å; angles 60.05, 60.05, 90.00 degrees
Each line ends with the local moment (μB).
Positions (direct):
I1 0.751 0.751 0.000  -0.04
I2 0.751 0.249 0.000  -0.04
I3 0.249 0.751 0.000  -0.04
I4 0.255 0.255 0.491  -0.05
I5 0.249 0.249 0.000  -0.04
I6 0.745 0.745 0.509  -0.05
Mn1 0.500 0.500 0.000  3.98
Pd1 0.000 0.000 0.000  -0.52
Cs1 0.750 0.250 0.500  0.00
Cs2 0.250 0.750 0.500  0.00

Values from the calculation:
E_form (uncorrected): -0.762 eV per atom

Record 8
Computed, not measured: Co3HRh after structural relaxation at the PBE level of DFT.

Cell lengths 3.660, 3.660, 3.660 Å; angles 90.00, 90.00, 90.00 degrees
Each line ends with the local moment (μB).
Positions (direct):
Co1 0.000 0.500 0.000  1.47
Co2 0.000 0.000 0.500  1.57
Co3 0.500 0.000 0.000  1.46
H1 0.000 0.000 0.000  -0.02
Rh1 0.500 0.500 0.500  0.79

Values from the calculation:
Polymorph energy (0 for the lowest one): 9 meV/atom

Record 9
Computed, not measured: H2PtO after structural relaxation at the PBE level of DFT.

Cell lengths 2.544, 2.544, 8.048 Å; angles 80.91, 80.91, 60.00 degrees
Positions (direct):
H1 0.845 0.845 0.465
H2 0.155 0.155 0.535
Pt1 0.000 0.000 0.000
O1 0.500 0.500 0.500

Values from the calculation:
Polymorph energy (0 for the lowest one): 95 meV/atom

Record 10
Computed, not measured: HgRuBr2 after structural relaxation at the PBE level of DFT.

Cell lengths 3.923, 3.923, 10.548 Å; angles 90.00, 90.00, 124.35 degrees
Each line ends with the local moment (μB).
Positions (direct):
Hg1 0.500 0.500 0.250  0.00
Br1 0.000 0.000 0.590  0.08
Br2 0.000 0.000 0.910  0.08
Ru1 0.500 0.500 0.750  1.62

Values from the calculation:
Polymorph energy (0 for the lowest one): 224 meV/atom
E_form (uncorrected): 0.194 eV per atom

Record 11
Computed, not measured: Ac4Hg2Ru after structural relaxation at the PBE level of DFT.

Cell lengths 4.298, 7.644, 8.352 Å; angles 72.90, 75.09, 73.67 degrees
Positions (direct):
Ac1 0.343 0.246 0.068
Ac2 0.657 0.754 0.932
Ac3 0.916 0.805 0.363
Ac4 0.084 0.195 0.637
Hg1 0.623 0.431 0.323
Hg2 0.377 0.569 0.677
Ru1 0.000 0.000 0.000

Values from the calculation:
Polymorph energy (0 for the lowest one): 0 meV/atom
ΔH_f (0 K): -2.4 eV/f.u.

Record 12
Computed, not measured: Ni21As2P6 after structural relaxation at the PBE level of DFT.

Cell lengths 7.812, 7.812, 7.812 Å; angles 60.00, 60.00, 60.00 degrees
Positions (direct):
Ni1 0.000 0.000 0.000
Ni2 0.346 0.000 0.654
Ni3 0.622 0.133 0.622
Ni4 0.654 0.000 0.000
Ni5 0.000 0.000 0.346
Ni6 0.000 0.654 0.000
Ni7 0.133 0.622 0.622
Ni8 0.000 0.346 0.000
Ni9 0.378 0.378 0.378
Ni10 0.346 0.000 0.000
Ni11 0.867 0.378 0.378
Ni12 0.622 0.622 0.133
Ni13 0.000 0.000 0.654
Ni14 0.654 0.346 0.000
Ni15 0.378 0.378 0.867
Ni16 0.622 0.622 0.622
Ni17 0.000 0.654 0.346
Ni18 0.346 0.654 0.000
Ni19 0.000 0.346 0.654
Ni20 0.654 0.000 0.346
Ni21 0.378 0.867 0.378
P1 0.735 0.265 0.735
P2 0.265 0.735 0.735
P3 0.735 0.265 0.265
P4 0.265 0.735 0.265
P5 0.735 0.735 0.265
P6 0.265 0.265 0.735
As1 0.750 0.750 0.750
As2 0.250 0.250 0.250

Values from the calculation:
ΔH_f (0 K): -10.6 eV/f.u.

no.,total magnetic moment (μB per formula unit),E (Ry per atom),density of states at the Fermi level (states/eV/f.u.)
1,0.000,-0.3361,18.06
2,0.000,-0.1808,0.26
3,0.000,-0.5061,3.15
4,0.000,-0.2406,3.81
5,0.000,-0.4369,3.75
6,0.000,-0.2233,7.86
7,3.364,-0.2424,3.94
8,5.152,-0.4668,5.26
9,0.000,-0.3068,1.57
10,2.002,-0.2232,2.79
11,0.000,-0.3020,5.83
12,0.000,-0.4405,17.62